No. 1
VASP calculation (meta-GGA SCAN) on a crystal of AlSn2As relaxed with PBEsol.

Cell lengths 5.007, 5.007, 5.007 Å; angles 60.00, 60.00, 60.00 degrees
Fractional coordinates of all 4 atoms:
Al 0.000 0.000 0.000
Sn 0.250 0.250 0.250
Sn 0.750 0.750 0.750
As 0.500 0.500 0.500

Output
ρ: 6.3 g/cm3
Space-group type: Fm-3m, No. 225
Calculated total energy: -24.613 eV/atom
Density of states at the Fermi level: 3.06 states/eV/cell
Crystal system: cubic

=====

No. 2
VASP calculation (meta-GGA SCAN) on a crystal of AlSnAs3 relaxed with PBEsol.

Cell lengths 4.841, 4.841, 4.841 Å; angles 90.00, 90.00, 90.00 degrees
Fractional coordinates of all 5 atoms:
Al 0.000 0.000 0.000
Sn 0.500 0.500 0.500
As 0.000 0.000 0.500
As 0.000 0.500 0.000
As 0.500 0.000 0.000

Output
ρ: 5.4 g/cm3
Space-group type: Pm-3m, No. 221
Calculated total energy: -20.370 eV/atom
Density of states at the Fermi level: 4.12 states/eV/cell
Crystal system: cubic

=====

No. 3
VASP calculation (meta-GGA SCAN) on a crystal of AlSn2As relaxed with PBEsol.

Cell lengths 7.565, 7.565, 7.565 Å; angles 131.86, 131.86, 70.45 degrees
Fractional coordinates of all 8 atoms:
Al 0.000 0.000 0.000
Al 0.750 0.250 0.500
Sn 0.123 0.625 0.998
Sn 0.375 0.373 0.498
Sn 0.627 0.125 0.002
Sn 0.875 0.877 0.502
As 0.250 0.750 0.500
As 0.500 0.500 0.000

Output
ρ: 4.8 g/cm3
Space-group type: I-42d, No. 122
Calculated total energy: -24.914 eV/atom
Density of states at the Fermi level: 0.19 states/eV/cell
Crystal system: tetragonal